No. 1
Below is a geometry-optimized Ni3Sb structure, with properties calculated at the PBE-GGA level.

Lattice parameters (Å, degrees): 8.1142 8.1142 2.8889 90.00 90.00 120.00
Space group R-3m (No. 166, hexagonal axes)
Unique sites:
Ni (0.0000, 0.5000, 0.0000)
Sb (0.0000, 0.0000, 0.0000)

## Properties
* raw formation energy: 0.15 eV/atom
* excess energy over the best structure of this formula in the dataset: 1.20 eV per formula unit

---

No. 2
Below is a geometry-optimized Pm3SmEr2Bi6 structure, with properties calculated at the PBE-GGA level.

Lattice parameters (Å, degrees): 19.744 4.534 9.060 90.00 103.18 90.00
Space group C2/m (No. 12)
Unique sites:
Pm (0.000, 0.000, 0.000)
Pm (0.166, 0.500, 0.332)
Sm (0.000, 0.000, 0.500)
Er (0.167, 0.500, 0.833)
Bi (0.003, 0.500, 0.751)
Bi (0.167, 0.000, 0.589)
Bi (0.169, 0.000, 0.078)

## Properties
* formation enthalpy at 0 K: -893 meV per atom

---

No. 3
Below is a geometry-optimized Pm5DyTm4 structure, with properties calculated at the PBE-GGA level.

Lattice parameters (Å, degrees): 16.998 3.542 11.417 90.00 108.78 90.00
Space group C2/m (No. 12)
Unique sites:
Pm (0.000, 0.000, 0.000)
Pm (0.188, 0.500, 0.576)
Pm (0.211, 0.500, 0.117)
Dy (0.000, 0.000, 0.500)
Tm (0.082, 0.500, 0.790)
Tm (0.104, 0.000, 0.297)

## Properties
* formation enthalpy at 0 K: 37 meV per atom
* excess energy over the best structure of this formula in the dataset: 0.18 eV per formula unit

---

No. 4
Below is a geometry-optimized Mo6Pt7 structure, with properties calculated at the PBE-GGA level.

Lattice parameters (Å, degrees): 5.1730 5.1730 27.1732 90.00 90.00 120.00
Space group R-3m (No. 166, hexagonal axes)
Unique sites:
Mo (0.0000, 0.0000, 0.0431)
Mo (0.0000, 0.0000, 0.1538)
Mo (0.0000, 0.0000, 0.3323)
Pt (0.0000, 0.0000, 0.5000)
Pt (0.0022, 0.5011, 0.9146)

## Properties
* formation enthalpy at 0 K: 13 meV per atom

---

no.,N(E_F) (states/eV per atom),calculated total energy (eV per atom)
1,1.119,-5.217
2,0.168,-5.175
3,1.341,-4.587
4,0.928,-8.239